CdSbIr | Alexandria | meta-GGA SCAN | single point on PBEsol structure; formation energy (no corrections) = 0.18 eV/atom; SG = No. 107; DOS(E_F) = 2.200 states/eV/cell; volume = 19.2 A^3/atom
1.0
3.533 0.000 0.000
0.000 3.533 0.000
0.000 0.000 9.215
Cd Sb Ir
2 2 2
Cartesian
0.000 0.000 0.000
1.766 1.766 4.607
0.000 0.000 2.794
1.766 1.766 7.402
0.000 0.000 6.312
1.766 1.766 1.705



SrCdSb2Ir | Alexandria | meta-GGA SCAN | single point on PBEsol structure; formation energy (no corrections) = 0.55 eV/atom; SG = No. 123; DOS(E_F) = 3.631 states/eV/cell; volume = 28.9 A^3/atom
1.0
5.364 0.000 0.000
0.000 5.364 0.000
0.000 0.000 5.013
Sr Cd Sb Ir
1 1 2 1
Cartesian
0.000 0.000 0.000
2.682 2.682 2.506
0.000 2.682 2.506
2.682 0.000 2.506
2.682 2.682 0.000



Ta2CdSbIr | Alexandria | meta-GGA SCAN | single point on PBEsol structure; formation energy (no corrections) = 2.53 eV/atom; SG = No. 123; DOS(E_F) = 4.479 states/eV/cell; volume = 23.9 A^3/atom
1.0
4.904 0.000 0.000
0.000 4.904 0.000
0.000 0.000 4.964
Ta Cd Sb Ir
2 1 1 1
Cartesian
0.000 2.452 0.000
2.452 0.000 0.000
0.000 0.000 0.000
0.000 0.000 2.482
2.452 2.452 2.482



Sc2CdIr | Alexandria | meta-GGA SCAN | single point on PBEsol structure; SG = No. 47; DOS(E_F) = 1.831 states/eV/cell; volume = 18.7 A^3/atom; formation energy = -0.856 eV/atom
1.0
3.161 0.000 0.000
0.000 3.268 0.000
0.000 0.000 7.235
Sc Cd Ir
2 1 1
Cartesian
0.000 0.000 1.586
0.000 0.000 5.649
1.581 1.634 3.617
1.581 1.634 0.000



ScCdIr3 | Alexandria | meta-GGA SCAN | single point on PBEsol structure; SG = No. 221; DOS(E_F) = 5.485 states/eV/cell; volume = 21.3 A^3/atom; formation energy = 1.711 eV/atom
1.0
4.741 0.000 0.000
0.000 4.741 0.000
0.000 0.000 4.741
Sc Cd Ir
1 1 3
Cartesian
0.000 0.000 0.000
2.371 2.371 2.371
0.000 2.371 2.371
2.371 0.000 2.371
2.371 2.371 0.000



Sc2CdIr | Alexandria | meta-GGA SCAN | single point on PBEsol structure; SG = No. 65; DOS(E_F) = 3.961 states/eV/cell; volume = 18.2 A^3/atom; formation energy = -0.760 eV/atom
1.0
6.697 0.000 0.000
0.000 6.706 0.000
0.000 0.000 3.237
Sc Cd Ir
4 2 2
Cartesian
1.674 1.677 0.000
1.674 5.030 0.000
5.023 1.677 0.000
5.023 5.030 0.000
0.000 0.000 1.619
3.348 3.353 1.619
0.000 3.353 1.619
3.348 0.000 1.619



CdIr2Se | Alexandria | meta-GGA SCAN | single point on PBEsol structure; formation energy (no corrections) = 0.56 eV/atom; SG = No. 12; DOS(E_F) = 4.766 states/eV/cell; volume = 16.2 A^3/atom; E above lowest polymorph = 0.019 eV/atom
1.0
5.657 0.000 0.000
0.000 9.353 0.000
-1.410 0.000 2.450
Cd Ir Se
2 4 2
Cartesian
0.000 0.000 0.000
2.828 4.676 0.000
0.709 2.338 1.225
0.709 7.014 1.225
3.537 2.338 1.225
3.537 7.014 1.225
0.000 4.676 0.000
2.828 0.000 0.000



CdIr2Se | Alexandria | meta-GGA SCAN | single point on PBEsol structure; formation energy (no corrections) = 0.54 eV/atom; SG = No. 47; DOS(E_F) = 4.239 states/eV/cell; volume = 16.2 A^3/atom; E above lowest polymorph = 0.000 eV/atom
1.0
2.841 0.000 0.000
0.000 4.691 0.000
0.000 0.000 4.867
Cd Ir Se
1 2 1
Cartesian
0.000 0.000 0.000
0.000 2.346 2.434
1.421 2.346 0.000
1.421 0.000 2.434